The following is a PBEsol calculation of a relaxed structure of Na4Al3Ge3O13, from the Alexandria database.

Geometry as CIF:
```
data_Na4Al3Ge3O13
_chemical_formula_sum 'Na24 Al18 Ge18 O78'
_space_group_name_H-M_alt 'R 3 c'
_space_group_IT_number 161
_space_group_name_Hall 'R 3 -2"c'
_cell_length_a 12.6118
_cell_length_b 12.6118
_cell_length_c 15.4220
_cell_angle_alpha 90.00
_cell_angle_beta 90.00
_cell_angle_gamma 120.00
loop_
_atom_site_label
_atom_site_type_symbol
_atom_site_fract_x
_atom_site_fract_y
_atom_site_fract_z
Na1 Na 0.0000 0.0000 0.0000
Na2 Na 0.2077 0.1040 0.2928
Al1 Al 0.9997 0.2500 0.5934
Ge1 Ge 0.0000 0.2500 0.0934
O1 O 0.0000 0.0000 0.3355
O2 O 0.0382 0.5192 0.2217
O3 O 0.0559 0.3869 0.3717
O4 O 0.0566 0.3877 0.8713
O5 O 0.1835 0.0914 0.0750
```

Results
The density of states at the Fermi level is 2.0 states/eV per cell. The total magnetic moment comes out at 6.000 Bohr magnetons per cell. As for the calculated density: 2.808 g/cm³. Its calculated volume is 2124 Å³/cell. For the energy, the calculation gives -6.48 eV per atom.